First-principles (PBE) data for a geometry-optimized Cs2Si2HgSe6 structure, as listed in the Alexandria database.

Lattice parameters (Å, degrees): 9.2624 9.2624 9.2624 47.71 47.71 47.71
Sites, in units of the cell vectors:
Cs (0.2221, 0.2221, 0.2221)
Cs (0.7779, 0.7779, 0.7779)
Si (0.4121, 0.4121, 0.4121)
Si (0.5879, 0.5879, 0.5879)
Hg (0.0000, 0.0000, 0.0000)
Se (0.2434, 0.7527, 0.7527)
Se (0.2473, 0.2473, 0.7566)
Se (0.2473, 0.7566, 0.2473)
Se (0.7527, 0.2434, 0.7527)
Se (0.7527, 0.7527, 0.2434)
Se (0.7566, 0.2473, 0.2473)

## Properties
Formation energy without anion corrections (eV per atom): -0.530
Density (g cm⁻³): 4.156

***

First-principles (PBE) data for a geometry-optimized KReSe2 structure, as listed in the Alexandria database.

Lattice parameters (Å, degrees): 3.0679 3.0679 10.0203 90.00 90.00 90.00
Sites, in units of the cell vectors:
K (0.0000, 0.0000, 0.0000)
Re (0.5000, 0.5000, 0.2975)
Se (0.0000, 0.0000, 0.4243)
Se (0.5000, 0.5000, 0.7559)

## Properties
ΔE to the lowest computed polymorph (eV per atom): 0.5430
Formation energy without anion corrections (eV per atom): 0.278
Density (g cm⁻³): 6.747